No. 1
# K7Rb2Na

Crystalline K7Rb2Na at its relaxed geometry (PBE, the Alexandria database).

Structure (POSCAR):
```
K7Rb2Na
1.0
9.832 -6.250 0.000
9.832 6.250 0.000
-9.097 0.000 11.811
K Rb Na
14 4 2
Direct
0.094 0.635 0.191 K
0.144 0.856 0.750 K
0.169 0.426 0.444 K
0.267 0.578 0.928 K
0.365 0.906 0.309 K
0.422 0.733 0.572 K
0.426 0.169 0.944 K
0.574 0.831 0.056 K
0.578 0.267 0.428 K
0.635 0.094 0.691 K
0.733 0.422 0.072 K
0.831 0.574 0.556 K
0.856 0.144 0.250 K
0.906 0.365 0.809 K
0.159 0.161 0.591 Rb
0.161 0.159 0.091 Rb
0.839 0.841 0.909 Rb
0.841 0.839 0.409 Rb
0.494 0.506 0.750 Na
0.506 0.494 0.250 Na
```

Properties
N(E_F) = 14.95 states/eV/cell
Total magnetization = 0.00 Bohr magnetons per cell
Raw total energy = -1.073 eV per atom
Density = 1.1 g cm⁻³
Formation energy from the elements = 20.7 meV per atom

No. 2
# K2Rb3Na3

Crystalline K2Rb3Na3 at its relaxed geometry (PBE, the Alexandria database).

Structure (POSCAR):
```
K2Rb3Na3
1.0
4.895 0.000 0.000
0.006 7.214 0.000
2.438 3.596 14.523
K Rb Na
2 3 3
Direct
0.235 0.238 0.029 K
0.765 0.762 0.971 K
0.000 0.000 0.500 Rb
0.118 0.638 0.259 Rb
0.882 0.362 0.741 Rb
0.381 0.855 0.744 Na
0.500 0.500 0.500 Na
0.619 0.145 0.256 Na
```

Properties
N(E_F) = 5.12 states/eV/cell
Total magnetization = 0.00 Bohr magnetons per cell
Raw total energy = -1.102 eV per atom
Density = 1.3 g cm⁻³
Formation energy from the elements = 29.7 meV per atom

No. 3
# K8Rb2Na3

Crystalline K8Rb2Na3 at its relaxed geometry (PBE, the Alexandria database).

Structure (POSCAR):
```
K8Rb2Na3
1.0
12.668 0.000 0.000
0.000 4.667 0.000
-4.868 0.000 14.765
K Rb Na
8 2 3
Direct
0.144 0.000 0.118 K
0.160 0.500 0.846 K
0.278 0.000 0.619 K
0.344 0.500 0.382 K
0.656 0.500 0.618 K
0.722 0.000 0.381 K
0.840 0.500 0.154 K
0.856 0.000 0.882 K
0.469 0.500 0.134 Rb
0.531 0.500 0.866 Rb
0.000 0.500 0.500 Na
0.058 0.000 0.350 Na
0.942 0.000 0.650 Na
```

Properties
N(E_F) = 7.85 states/eV/cell
Total magnetization = 0.00 Bohr magnetons per cell
Raw total energy = -1.106 eV per atom
Density = 1.1 g cm⁻³
Formation energy from the elements = 23.1 meV per atom

No. 4
# K4RbNa4

Crystalline K4RbNa4 at its relaxed geometry (PBE, the Alexandria database).

Structure (POSCAR):
```
K4RbNa4
1.0
11.667 0.000 0.000
0.000 11.667 0.000
0.000 0.000 7.632
K Rb Na
8 2 8
Direct
0.091 0.830 0.108 K
0.170 0.591 0.608 K
0.330 0.909 0.608 K
0.409 0.670 0.108 K
0.591 0.330 0.892 K
0.670 0.091 0.392 K
0.830 0.409 0.392 K
0.909 0.170 0.892 K
0.250 0.250 0.750 Rb
0.750 0.750 0.250 Rb
0.062 0.130 0.354 Na
0.130 0.438 0.146 Na
0.370 0.062 0.146 Na
0.438 0.370 0.354 Na
0.562 0.630 0.646 Na
0.630 0.938 0.854 Na
0.870 0.562 0.854 Na
0.938 0.870 0.646 Na
```

Properties
N(E_F) = 11.27 states/eV/cell
Total magnetization = 0.00 Bohr magnetons per cell
Raw total energy = -1.131 eV per atom
Density = 1.1 g cm⁻³
Formation energy from the elements = 50.2 meV per atom

No. 5
# K2Rb2Na

Crystalline K2Rb2Na at its relaxed geometry (PBE, the Alexandria database).

Structure (POSCAR):
```
K2Rb2Na
1.0
10.183 0.000 0.000
0.000 10.183 0.000
0.000 0.000 7.234
K Rb Na
4 4 2
Direct
0.146 0.354 0.000 K
0.354 0.854 0.000 K
0.646 0.146 0.000 K
0.854 0.646 0.000 K
0.174 0.674 0.500 Rb
0.326 0.174 0.500 Rb
0.674 0.826 0.500 Rb
0.826 0.326 0.500 Rb
0.000 0.000 0.000 Na
0.500 0.500 0.000 Na
```

Properties
N(E_F) = 7.68 states/eV/cell
Total magnetization = 0.00 Bohr magnetons per cell
Raw total energy = -1.035 eV per atom
Density = 1.2 g cm⁻³
Formation energy from the elements = 55.3 meV per atom

No. 6
# KRb10Na6

Crystalline KRb10Na6 at its relaxed geometry (PBE, the Alexandria database).

Structure (POSCAR):
```
KRb10Na6
1.0
12.300 0.000 0.000
-6.150 10.652 0.000
0.000 0.000 8.986
K Rb Na
1 10 6
Direct
0.000 0.000 0.000 K
0.000 0.290 0.689 Rb
0.000 0.710 0.311 Rb
0.290 0.000 0.689 Rb
0.290 0.290 0.311 Rb
0.333 0.667 0.000 Rb
0.333 0.667 0.500 Rb
0.667 0.333 0.000 Rb
0.667 0.333 0.500 Rb
0.710 0.000 0.311 Rb
0.710 0.710 0.689 Rb
0.000 0.366 0.175 Na
0.000 0.634 0.825 Na
0.366 0.000 0.175 Na
0.366 0.366 0.825 Na
0.634 0.000 0.825 Na
0.634 0.634 0.175 Na
```

Properties
N(E_F) = 10.09 states/eV/cell
Total magnetization = 0.00 Bohr magnetons per cell
Raw total energy = -1.061 eV per atom
Density = 1.5 g cm⁻³
Formation energy from the elements = 38.1 meV per atom